An optimized crystal structure of Mg2ZrRu, computed with GGA-PBE.

## Properties
Raw total energy: -5.3344 eV per atom
Size of the total moment: 0.00 μB per formula unit
Energy of formation from the pure elements: -0.32 eV per formula unit
Energy relative to the lowest polymorph listed for this composition: 0.114 eV/atom
Space group: I4/mmm

Unit cell a=5.523 b=5.523 c=5.523 alpha=138.11 beta=138.11 gamma=60.73
Fractional coordinates of all 4 atoms:
Mg 0.000 0.000 0.000
Mg 0.500 0.500 0.000
Ru 0.250 0.750 0.500
Zr 0.750 0.250 0.500

=====

An optimized crystal structure of AcDy12In3, computed with GGA-PBE.

## Properties
Raw total energy: -4.3883 eV per atom
Size of the total moment: 0.00 μB per formula unit
Energy of formation from the pure elements: -2.66 eV per formula unit
Space group: P4/mmm

Unit cell a=4.886 b=4.886 c=19.983 alpha=90.00 beta=90.00 gamma=90.00
Fractional coordinates of all 16 atoms:
Ac 0.000 0.000 0.000
Dy 0.500 0.500 0.000
Dy 0.500 0.500 0.259
Dy 0.500 0.500 0.500
Dy 0.500 0.500 0.741
Dy 0.500 0.000 0.137
Dy 0.500 0.000 0.379
Dy 0.500 0.000 0.621
Dy 0.500 0.000 0.863
Dy 0.000 0.500 0.137
Dy 0.000 0.500 0.379
Dy 0.000 0.500 0.621
Dy 0.000 0.500 0.863
In 0.000 0.000 0.259
In 0.000 0.000 0.500
In 0.000 0.000 0.741

=====

An optimized crystal structure of AgAu5, computed with GGA-PBE.

## Properties
Raw total energy: -3.2286 eV per atom
Size of the total moment: 0.00 μB per formula unit
Energy of formation from the pure elements: -0.13 eV per formula unit
Energy relative to the lowest polymorph listed for this composition: 0.000 eV/atom
Space group: Cm

Unit cell a=5.690 b=5.690 c=11.212 alpha=140.69 beta=140.69 gamma=29.80
Fractional coordinates of all 6 atoms:
Ag 0.001 0.001 0.999
Au 0.112 0.112 0.724
Au 0.333 0.333 0.667
Au 0.444 0.444 0.390
Au 0.665 0.665 0.331
Au 0.779 0.779 0.056

=====

An optimized crystal structure of Ba2SnTePd, computed with GGA-PBE.

## Properties
Raw total energy: -4.0675 eV per atom
Size of the total moment: 0.00 μB per formula unit
Space group: P4/mmm
Uncorrected formation energy: -0.83 eV/atom

Unit cell a=6.236 b=6.236 c=4.992 alpha=90.00 beta=90.00 gamma=90.00
Fractional coordinates of all 5 atoms:
Te 0.500 0.500 0.500
Ba 0.000 0.500 0.000
Ba 0.500 0.000 0.000
Pd 0.000 0.000 0.000
Sn 0.000 0.000 0.500

=====

An optimized crystal structure of RbCd4Hg2, computed with GGA-PBE.

## Properties
Raw total energy: -0.8416 eV per atom
Size of the total moment: 0.00 μB per formula unit
Energy of formation from the pure elements: -0.66 eV per formula unit
Energy relative to the lowest polymorph listed for this composition: 0.000 eV/atom
Space group: Cmmm

Unit cell a=4.607 b=4.772 c=9.339 alpha=104.80 beta=90.00 gamma=90.00
Fractional coordinates of all 7 atoms:
Rb 0.000 0.000 0.000
Cd 0.500 0.813 0.625
Cd 0.000 0.693 0.387
Cd 0.500 0.187 0.375
Cd 0.000 0.307 0.613
Hg 0.500 0.583 0.167
Hg 0.500 0.417 0.833

=====

An optimized crystal structure of DyCu2Ru, computed with GGA-PBE.

## Properties
Raw total energy: -5.5505 eV per atom
Size of the total moment: 0.00 μB per formula unit
Energy of formation from the pure elements: -0.13 eV per formula unit
Energy relative to the lowest polymorph listed for this composition: 0.043 eV/atom
Space group: R-3m

Unit cell a=4.262 b=4.262 c=5.064 alpha=65.12 beta=65.12 gamma=60.00
Fractional coordinates of all 4 atoms:
Ru 0.500 0.500 0.500
Cu 0.793 0.793 0.622
Cu 0.207 0.207 0.378
Dy 0.000 0.000 0.000

=====

An optimized crystal structure of Pr2DyMg, computed with GGA-PBE.

## Properties
Raw total energy: -3.9712 eV per atom
Size of the total moment: 0.00 μB per formula unit
Energy of formation from the pure elements: -0.13 eV per formula unit
Energy relative to the lowest polymorph listed for this composition: 0.000 eV/atom
Space group: P4/mmm

Unit cell a=3.752 b=3.752 c=9.104 alpha=90.00 beta=90.00 gamma=90.00
Fractional coordinates of all 4 atoms:
Pr 0.000 0.000 0.769
Pr 0.000 0.000 0.231
Mg 0.500 0.500 0.000
Dy 0.500 0.500 0.500

=====

An optimized crystal structure of TbMg5Ag6, computed with GGA-PBE.

## Properties
Raw total energy: -2.7094 eV per atom
Size of the total moment: 0.00 μB per formula unit
Energy of formation from the pure elements: -2.80 eV per formula unit
Space group: P2/m

Unit cell a=4.801 b=6.871 c=7.573 alpha=90.00 beta=108.94 gamma=90.00
Fractional coordinates of all 12 atoms:
Mg 0.657 0.500 0.324
Mg 0.333 0.000 0.661
Mg 0.000 0.500 0.000
Mg 0.667 0.000 0.339
Mg 0.343 0.500 0.676
Tb 0.000 0.000 0.000
Ag 0.833 0.737 0.655
Ag 0.833 0.263 0.655
Ag 0.500 0.265 0.000
Ag 0.500 0.735 0.000
Ag 0.167 0.737 0.345
Ag 0.167 0.263 0.345

=====

An optimized crystal structure of Nd12YTm5, computed with GGA-PBE.

## Properties
Raw total energy: -4.7558 eV per atom
Size of the total moment: 0.00 μB per formula unit
Energy of formation from the pure elements: 0.43 eV per formula unit
Space group: P2/m

Unit cell a=15.306 b=10.853 c=5.140 alpha=89.99 beta=89.99 gamma=45.26
Fractional coordinates of all 18 atoms:
Nd 0.834 0.000 0.500
Nd 0.166 0.000 0.500
Nd 0.664 0.000 0.000
Nd 0.336 0.000 0.000
Nd 0.332 0.666 0.000
Nd 0.002 0.666 0.000
Nd 0.998 0.334 0.000
Nd 0.668 0.334 0.000
Nd 0.498 0.333 0.500
Nd 0.831 0.667 0.500
Nd 0.169 0.333 0.500
Nd 0.502 0.667 0.500
Y 0.000 0.000 0.000
Tm 0.500 0.000 0.500
Tm 0.167 0.665 0.500
Tm 0.833 0.335 0.500
Tm 0.667 0.666 0.000
Tm 0.333 0.334 0.000

=====

An optimized crystal structure of LiCaScGe, computed with GGA-PBE.

## Properties
Raw total energy: -4.0579 eV per atom
Size of the total moment: 0.00 μB per formula unit
Energy of formation from the pure elements: -1.37 eV per formula unit
Space group: F-43m

Unit cell a=4.937 b=4.937 c=4.937 alpha=60.00 beta=60.00 gamma=60.00
Fractional coordinates of all 4 atoms:
Sc 0.250 0.250 0.250
Ge 0.000 0.000 0.000
Ca 0.750 0.750 0.750
Li 0.500 0.500 0.500

=====

An optimized crystal structure of B2ClO3, computed with GGA-PBE.

## Properties
Raw total energy: -6.5806 eV per atom
Size of the total moment: 0.82 μB per formula unit
Space group: C2
Uncorrected formation energy: -1.57 eV/atom

Unit cell a=8.254 b=4.279 c=7.469 alpha=73.35 beta=53.90 gamma=75.00
Fractional coordinates of all 12 atoms:
B 0.000 0.477 0.000
B 0.569 0.580 0.895
B 0.000 0.014 0.000
B 0.431 0.044 0.105
Cl 0.739 0.773 0.618
Cl 0.261 0.129 0.382
O 0.870 0.316 0.990
O 0.089 0.784 0.835
O 0.911 0.708 0.165
O 0.462 0.729 0.079
O 0.538 0.269 0.921
O 0.130 0.176 0.010

=====

An optimized crystal structure of AgGeP2O, computed with GGA-PBE.

## Properties
Raw total energy: -4.2903 eV per atom
Size of the total moment: 0.00 μB per formula unit
Energy relative to the lowest polymorph listed for this composition: 0.000 eV/atom
Space group: P4/mmm
Uncorrected formation energy: 0.36 eV/atom

Unit cell a=4.950 b=4.950 c=3.507 alpha=90.00 beta=90.00 gamma=90.00
Fractional coordinates of all 5 atoms:
P 0.000 0.500 0.000
P 0.500 0.000 0.000
Ge 0.000 0.000 0.000
O 0.000 0.000 0.500
Ag 0.500 0.500 0.500